No. 1
# TbHoTe | the Alexandria database | PBE | optimized geometry
# Calculated total energy = -4.891 eV per atom
# Crystal system = tetragonal
# Distance to the lowest polymorph of the same formula = 0.079 eV per atom
# N(E_F) = 0.665 states/eV/atom
# M_tot = 0.0 μB per cell
data_TbHoTe
_symmetry_space_group_name_H-M 'P 1'
_symmetry_Int_Tables_number 1
_cell_length_a 3.862
_cell_length_b 3.862
_cell_length_c 11.568
_cell_angle_alpha 90.00
_cell_angle_beta 90.00
_cell_angle_gamma 90.00
loop_
_symmetry_equiv_pos_as_xyz
'x,y,z'
loop_
_atom_site_label
_atom_site_type_symbol
_atom_site_fract_x
_atom_site_fract_y
_atom_site_fract_z
_atom_site_occupancy
Tb1 Tb 0.000 0.000 0.000 1
Tb2 Tb 0.500 0.500 0.500 1
Ho1 Ho 0.000 0.000 0.312 1
Ho2 Ho 0.500 0.500 0.812 1
Te1 Te 0.000 0.000 0.658 1
Te2 Te 0.500 0.500 0.158 1


No. 2
# Tm3Cu2Rh | the Alexandria database | PBE | optimized geometry
# Calculated total energy = -5.343 eV per atom
# Crystal system = trigonal
# Energy of formation from the pure elements = -516 meV per atom
# Distance to the lowest polymorph of the same formula = 0.000 eV per atom
# N(E_F) = 0.760 states/eV/atom
# M_tot = 0.0 μB per cell
data_Tm3Cu2Rh
_symmetry_space_group_name_H-M 'P 1'
_symmetry_Int_Tables_number 1
_cell_length_a 4.816
_cell_length_b 4.816
_cell_length_c 11.814
_cell_angle_alpha 90.00
_cell_angle_beta 90.00
_cell_angle_gamma 120.00
loop_
_symmetry_equiv_pos_as_xyz
'x,y,z'
loop_
_atom_site_label
_atom_site_type_symbol
_atom_site_fract_x
_atom_site_fract_y
_atom_site_fract_z
_atom_site_occupancy
Tm1 Tm 0.000 0.000 0.247 1
Tm2 Tm 0.000 0.000 0.753 1
Tm3 Tm 0.333 0.667 0.414 1
Tm4 Tm 0.333 0.667 0.917 1
Tm5 Tm 0.667 0.333 0.083 1
Tm6 Tm 0.667 0.333 0.586 1
Cu1 Cu 0.000 0.000 0.000 1
Cu2 Cu 0.000 0.000 0.500 1
Cu3 Cu 0.333 0.667 0.663 1
Cu4 Cu 0.667 0.333 0.337 1
Rh1 Rh 0.333 0.667 0.166 1
Rh2 Rh 0.667 0.333 0.834 1


No. 3
# SrLuCuPt | the Alexandria database | PBE | optimized geometry
# Calculated total energy = -4.574 eV per atom
# Crystal system = cubic
# Energy of formation from the pure elements = -489 meV per atom
# N(E_F) = 0.545 states/eV/atom
# M_tot = 0.0 μB per cell
data_SrLuCuPt
_symmetry_space_group_name_H-M 'P 1'
_symmetry_Int_Tables_number 1
_cell_length_a 7.096
_cell_length_b 7.096
_cell_length_c 7.096
_cell_angle_alpha 90.00
_cell_angle_beta 90.00
_cell_angle_gamma 90.00
loop_
_symmetry_equiv_pos_as_xyz
'x,y,z'
loop_
_atom_site_label
_atom_site_type_symbol
_atom_site_fract_x
_atom_site_fract_y
_atom_site_fract_z
_atom_site_occupancy
Sr1 Sr 0.000 0.000 0.000 1
Sr2 Sr 0.000 0.500 0.500 1
Sr3 Sr 0.500 0.000 0.500 1
Sr4 Sr 0.500 0.500 0.000 1
Lu1 Lu 0.000 0.000 0.500 1
Lu2 Lu 0.000 0.500 0.000 1
Lu3 Lu 0.500 0.000 0.000 1
Lu4 Lu 0.500 0.500 0.500 1
Cu1 Cu 0.250 0.250 0.750 1
Cu2 Cu 0.250 0.750 0.250 1
Cu3 Cu 0.750 0.250 0.250 1
Cu4 Cu 0.750 0.750 0.750 1
Pt1 Pt 0.250 0.250 0.250 1
Pt2 Pt 0.250 0.750 0.750 1
Pt3 Pt 0.750 0.250 0.750 1
Pt4 Pt 0.750 0.750 0.250 1


No. 4
# Pm2PrHo4Th | the Alexandria database | PBE | optimized geometry
# Calculated total energy = -4.973 eV per atom
# Crystal system = orthorhombic
# Energy of formation from the pure elements = 28 meV per atom
# N(E_F) = 1.335 states/eV/atom
# M_tot = 0.0 μB per cell
data_Pm2PrHo4Th
_symmetry_space_group_name_H-M 'P 1'
_symmetry_Int_Tables_number 1
_cell_length_a 5.103
_cell_length_b 5.119
_cell_length_c 9.986
_cell_angle_alpha 90.00
_cell_angle_beta 90.00
_cell_angle_gamma 90.00
loop_
_symmetry_equiv_pos_as_xyz
'x,y,z'
loop_
_atom_site_label
_atom_site_type_symbol
_atom_site_fract_x
_atom_site_fract_y
_atom_site_fract_z
_atom_site_occupancy
Pm1 Pm 0.000 0.000 0.000 1
Pm2 Pm 0.500 0.500 0.500 1
Pr1 Pr 0.000 0.000 0.500 1
Ho1 Ho 0.000 0.500 0.245 1
Ho2 Ho 0.000 0.500 0.755 1
Ho3 Ho 0.500 0.000 0.244 1
Ho4 Ho 0.500 0.000 0.756 1
Th1 Th 0.500 0.500 0.000 1


No. 5
# PaFeB2 | the Alexandria database | PBE | optimized geometry
# Calculated total energy = -8.150 eV per atom
# Crystal system = orthorhombic
# Energy of formation from the pure elements = -322 meV per atom
# Distance to the lowest polymorph of the same formula = 0.000 eV per atom
# N(E_F) = 0.827 states/eV/atom
# M_tot = 2.1 μB per cell
data_PaFeB2
_symmetry_space_group_name_H-M 'P 1'
_symmetry_Int_Tables_number 1
_cell_length_a 4.494
_cell_length_b 9.362
_cell_length_c 4.919
_cell_angle_alpha 90.00
_cell_angle_beta 90.00
_cell_angle_gamma 90.00
loop_
_symmetry_equiv_pos_as_xyz
'x,y,z'
loop_
_atom_site_label
_atom_site_type_symbol
_atom_site_fract_x
_atom_site_fract_y
_atom_site_fract_z
_atom_site_occupancy
Pa1 Pa 0.000 0.164 0.250 1
Pa2 Pa 0.000 0.836 0.750 1
Pa3 Pa 0.500 0.336 0.750 1
Pa4 Pa 0.500 0.664 0.250 1
Fe1 Fe 0.000 0.500 0.000 1
Fe2 Fe 0.000 0.500 0.500 1
Fe3 Fe 0.500 0.000 0.000 1
Fe4 Fe 0.500 0.000 0.500 1
B1 B 0.186 0.095 0.750 1
B2 B 0.186 0.905 0.250 1
B3 B 0.314 0.405 0.250 1
B4 B 0.314 0.595 0.750 1
B5 B 0.686 0.405 0.250 1
B6 B 0.686 0.595 0.750 1
B7 B 0.814 0.095 0.750 1
B8 B 0.814 0.905 0.250 1


No. 6
# La3Tb8Sm2 | the Alexandria database | PBE | optimized geometry
# Calculated total energy = -4.692 eV per atom
# Crystal system = triclinic
# Energy of formation from the pure elements = 20 meV per atom
# Distance to the lowest polymorph of the same formula = 0.000 eV per atom
# N(E_F) = 1.526 states/eV/atom
# M_tot = 0.0 μB per cell
data_La3Tb8Sm2
_symmetry_space_group_name_H-M 'P 1'
_symmetry_Int_Tables_number 1
_cell_length_a 6.261
_cell_length_b 8.077
_cell_length_c 9.566
_cell_angle_alpha 114.91
_cell_angle_beta 90.05
_cell_angle_gamma 97.46
loop_
_symmetry_equiv_pos_as_xyz
'x,y,z'
loop_
_atom_site_label
_atom_site_type_symbol
_atom_site_fract_x
_atom_site_fract_y
_atom_site_fract_z
_atom_site_occupancy
La1 La 0.000 0.000 0.000 1
La2 La 0.460 0.768 0.846 1
La3 La 0.540 0.232 0.154 1
Tb1 Tb 0.079 0.467 0.310 1
Tb2 Tb 0.153 0.924 0.613 1
Tb3 Tb 0.228 0.385 0.922 1
Tb4 Tb 0.310 0.845 0.234 1
Tb5 Tb 0.690 0.155 0.766 1
Tb6 Tb 0.772 0.615 0.078 1
Tb7 Tb 0.847 0.076 0.387 1
Tb8 Tb 0.921 0.533 0.690 1
Sm1 Sm 0.383 0.306 0.539 1
Sm2 Sm 0.617 0.694 0.461 1


No. 7
# ZrAl2W | the Alexandria database | PBE | optimized geometry
# Calculated total energy = -7.245 eV per atom
# Crystal system = cubic
# Energy of formation from the pure elements = 2 meV per atom
# Distance to the lowest polymorph of the same formula = 0.186 eV per atom
# N(E_F) = 1.222 states/eV/atom
# M_tot = 0.0 μB per cell
data_ZrAl2W
_symmetry_space_group_name_H-M 'P 1'
_symmetry_Int_Tables_number 1
_cell_length_a 6.482
_cell_length_b 6.482
_cell_length_c 6.482
_cell_angle_alpha 90.00
_cell_angle_beta 90.00
_cell_angle_gamma 90.00
loop_
_symmetry_equiv_pos_as_xyz
'x,y,z'
loop_
_atom_site_label
_atom_site_type_symbol
_atom_site_fract_x
_atom_site_fract_y
_atom_site_fract_z
_atom_site_occupancy
Zr1 Zr 0.000 0.000 0.000 1
Zr2 Zr 0.000 0.500 0.500 1
Zr3 Zr 0.500 0.000 0.500 1
Zr4 Zr 0.500 0.500 0.000 1
Al1 Al 0.250 0.250 0.250 1
Al2 Al 0.250 0.250 0.750 1
Al3 Al 0.250 0.750 0.250 1
Al4 Al 0.250 0.750 0.750 1
Al5 Al 0.750 0.250 0.250 1
Al6 Al 0.750 0.250 0.750 1
Al7 Al 0.750 0.750 0.250 1
Al8 Al 0.750 0.750 0.750 1
W1 W 0.000 0.000 0.500 1
W2 W 0.000 0.500 0.000 1
W3 W 0.500 0.000 0.000 1
W4 W 0.500 0.500 0.500 1


No. 8
# Th6POs3S2 | the Alexandria database | PBE | optimized geometry
# Calculated total energy = -8.628 eV per atom
# Crystal system = monoclinic
# N(E_F) = 0.430 states/eV/atom
# M_tot = 0.0 μB per cell
data_Th6POs3S2
_symmetry_space_group_name_H-M 'P 1'
_symmetry_Int_Tables_number 1
_cell_length_a 9.434
_cell_length_b 9.434
_cell_length_c 8.533
_cell_angle_alpha 106.21
_cell_angle_beta 106.21
_cell_angle_gamma 24.97
loop_
_symmetry_equiv_pos_as_xyz
'x,y,z'
loop_
_atom_site_label
_atom_site_type_symbol
_atom_site_fract_x
_atom_site_fract_y
_atom_site_fract_z
_atom_site_occupancy
Th1 Th 0.006 0.006 0.241 1
Th2 Th 0.330 0.330 0.429 1
Th3 Th 0.339 0.339 0.901 1
Th4 Th 0.661 0.661 0.099 1
Th5 Th 0.670 0.670 0.571 1
Th6 Th 0.994 0.994 0.759 1
P1 P 0.500 0.500 0.500 1
Os1 Os 0.168 0.168 0.335 1
Os2 Os 0.500 0.500 0.000 1
Os3 Os 0.832 0.832 0.665 1
S1 S 0.168 0.168 0.837 1
S2 S 0.832 0.832 0.163 1


N(E_F) of number 4 (Pm2PrHo4Th)? 1.335 states/eV/atom


What is the calculated total energy in the eighth record? -8.628 eV per atom